Entry 1:
CsTaW3: optimized geometry, PBE.

a b c (Å): 5.044 5.044 5.044
angles (deg): 90.00 90.00 90.00
Positions (direct):
Cs: 0.000 0.000 0.000
Ta: 0.500 0.500 0.500
W: 0.000 0.500 0.500
W: 0.500 0.000 0.500
W: 0.500 0.500 0.000

Computed properties:
Symmetry: No. 221
Total magnetization: 2.33 μB per formula unit
Polymorph energy (0 for the lowest one): 0 meV per atom

Entry 2:
MgSeSN2: optimized geometry, PBE.

a b c (Å): 4.013 4.013 5.937
angles (deg): 90.00 90.00 90.00
Positions (direct):
Mg: 0.000 0.000 0.000
Se: 0.000 0.000 0.500
S: 0.500 0.500 0.500
N: 0.000 0.500 0.000
N: 0.500 0.000 0.000

Computed properties:
Formation energy (no corrections): 1.47 eV/atom
Symmetry: No. 123
Total magnetization: 4.68 μB per formula unit
Polymorph energy (0 for the lowest one): 510 meV per atom

Entry 3:
TbDy3Sc: optimized geometry, PBE.

a b c (Å): 14.285 14.285 14.285
angles (deg): 14.07 14.07 14.07
Positions (direct):
Tb: 0.000 0.000 0.000
Dy: 0.402 0.402 0.402
Dy: 0.598 0.598 0.598
Dy: 0.804 0.804 0.804
Sc: 0.201 0.201 0.201

Computed properties:
Symmetry: No. 160
Total magnetization: 0.00 μB per formula unit
Polymorph energy (0 for the lowest one): 15 meV per atom

Entry 4:
TiNbReMo: optimized geometry, PBE.

a b c (Å): 4.497 4.497 4.497
angles (deg): 60.00 60.00 60.00
Positions (direct):
Ti: 0.000 0.000 0.000
Nb: 0.500 0.500 0.500
Re: 0.250 0.250 0.250
Mo: 0.750 0.750 0.750

Computed properties:
Symmetry: No. 216
Total magnetization: 0.00 μB per formula unit

Entry 5:
PrDy2Cu: optimized geometry, PBE.

a b c (Å): 9.988 9.988 9.988
angles (deg): 21.39 21.39 21.39
Positions (direct):
Pr: 0.000 0.000 0.000
Dy: 0.564 0.564 0.564
Dy: 0.768 0.768 0.768
Cu: 0.165 0.165 0.165

Computed properties:
Symmetry: No. 160
Total magnetization: 0.00 μB per formula unit
Polymorph energy (0 for the lowest one): 131 meV per atom

Entry 6:
RbBa2RuO4: optimized geometry, PBE.

a b c (Å): 7.168 7.168 13.355
angles (deg): 90.00 90.00 149.17
Positions (direct):
Rb: 0.075 0.925 0.750
Rb: 0.925 0.075 0.250
Ba: 0.371 0.629 0.544
Ba: 0.371 0.629 0.956
Ba: 0.629 0.371 0.044
Ba: 0.629 0.371 0.456
Ru: 0.215 0.785 0.250
Ru: 0.785 0.215 0.750
O: 0.000 0.000 0.000
O: 0.000 0.000 0.500
O: 0.254 0.746 0.112
O: 0.254 0.746 0.388
O: 0.336 0.664 0.750
O: 0.664 0.336 0.250
O: 0.746 0.254 0.612
O: 0.746 0.254 0.888

Computed properties:
Formation energy (no corrections): -1.66 eV/atom
Symmetry: No. 63
Total magnetization: 0.17 μB per formula unit

Number 1: electronic total energy -7.711 eV/atom. Number 2: electronic total energy -3.700 eV/atom. Number 3: electronic total energy -4.916 eV/atom. Number 4: electronic total energy -10.573 eV/atom. Number 5: electronic total energy -4.491 eV/atom. Number 6: electronic total energy -5.903 eV/atom.